Entry 1:
{"formula": "Ce12DyTh3", "functional": "PBE", "state": "relaxed", "cell": [[4.806, 0.000, 0.000], [0.000, 4.806, 0.000], [0.000, 0.000, 19.357]], "species": ["Ce", "Ce", "Ce", "Ce", "Ce", "Ce", "Ce", "Ce", "Ce", "Ce", "Ce", "Ce", "Dy", "Th", "Th", "Th"], "frac_coords": [[0.000, 0.000, 0.000], [0.000, 0.000, 0.249], [0.000, 0.000, 0.500], [0.000, 0.000, 0.751], [0.000, 0.500, 0.125], [0.000, 0.500, 0.374], [0.000, 0.500, 0.626], [0.000, 0.500, 0.875], [0.500, 0.000, 0.125], [0.500, 0.000, 0.374], [0.500, 0.000, 0.626], [0.500, 0.000, 0.875], [0.500, 0.500, 0.500], [0.500, 0.500, 0.000], [0.500, 0.500, 0.250], [0.500, 0.500, 0.750]], "spacegroup": "P4/mmm", "e_tot_ev_per_cell": -97.5, "delta_e_f_ev_per_atom": 0.032, "magmom_total_mub_per_cell": 0.0}



Entry 2:
{"formula": "LiAcCeZn", "functional": "PBE", "state": "relaxed", "cell": [[0.000, 3.816, 3.816], [3.816, 0.000, 3.816], [3.816, 3.816, 0.000]], "species": ["Li", "Ac", "Ce", "Zn"], "frac_coords": [[0.000, 0.000, 0.000], [0.250, 0.250, 0.250], [0.750, 0.750, 0.750], [0.500, 0.500, 0.500]], "spacegroup": "F-43m", "e_tot_ev_per_cell": -13.1, "delta_e_f_ev_per_atom": 0.028, "magmom_total_mub_per_cell": 0.9}



Entry 3:
{"formula": "SrReCl", "functional": "PBE", "state": "relaxed", "cell": [[5.002, 0.000, 0.000], [-2.501, 4.332, 0.000], [0.000, 0.000, 3.416]], "species": ["Sr", "Re", "Cl"], "frac_coords": [[0.000, 0.000, 0.000], [0.333, 0.667, 0.500], [0.667, 0.333, 0.500]], "spacegroup": "P-6m2", "e_tot_ev_per_cell": -13.6, "polymorph_energy_mev_per_atom": 186.3, "magmom_total_mub_per_cell": 3.7}



Entry 4:
{"formula": "TaMnOs2", "functional": "PBE", "state": "relaxed", "cell": [[2.748, 0.000, 0.000], [0.000, 2.748, 0.000], [0.000, 0.000, 7.863]], "species": ["Ta", "Mn", "Os", "Os"], "frac_coords": [[0.000, 0.000, 0.000], [0.500, 0.500, 0.257], [0.000, 0.000, 0.492], [0.500, 0.500, 0.721]], "spacegroup": "P4mm", "e_tot_ev_per_cell": -43.2, "delta_e_f_ev_per_atom": 0.069, "magmom_total_mub_per_cell": 2.1}



Entry 5:
{"formula": "NaLa2MgPd", "functional": "PBE", "state": "relaxed", "cell": [[5.693, 0.000, 0.000], [0.000, 5.693, 0.000], [0.000, 0.000, 5.259]], "species": ["Na", "La", "La", "Mg", "Pd"], "frac_coords": [[0.000, 0.000, 0.000], [0.000, 0.500, 0.500], [0.500, 0.000, 0.500], [0.500, 0.500, 0.000], [0.500, 0.500, 0.500]], "spacegroup": "P4/mmm", "e_tot_ev_per_cell": -18.9, "delta_e_f_ev_per_atom": -0.194, "magmom_total_mub_per_cell": 0.0}



Entry 6:
{"formula": "NaHg4Te2", "functional": "PBE", "state": "relaxed", "cell": [[3.894, -2.260, 0.000], [3.894, 2.260, 0.000], [-2.474, 0.000, 12.020]], "species": ["Na", "Hg", "Hg", "Hg", "Hg", "Te", "Te"], "frac_coords": [[0.000, 0.000, 0.000], [0.142, 0.142, 0.428], [0.421, 0.421, 0.278], [0.579, 0.579, 0.722], [0.858, 0.858, 0.572], [0.282, 0.282, 0.836], [0.718, 0.718, 0.164]], "spacegroup": "C2/m", "e_tot_ev_per_cell": -10.0, "magmom_total_mub_per_cell": 0.0}



Copy entry 2 word for word.
{"formula": "LiAcCeZn", "functional": "PBE", "state": "relaxed", "cell": [[0.000, 3.816, 3.816], [3.816, 0.000, 3.816], [3.816, 3.816, 0.000]], "species": ["Li", "Ac", "Ce", "Zn"], "frac_coords": [[0.000, 0.000, 0.000], [0.250, 0.250, 0.250], [0.750, 0.750, 0.750], [0.500, 0.500, 0.500]], "spacegroup": "F-43m", "e_tot_ev_per_cell": -13.1, "delta_e_f_ev_per_atom": 0.028, "magmom_total_mub_per_cell": 0.9}